Density functional theory data (GGA+U) for a relaxed Co3O crystal.

Results
Space group: Fm-3m, No. 225
Crystal system: cubic
Relative energy among the computed polymorphs, eV/atom: 0.3515
DFT total energy, eV per cell: -17.35

Cell and atoms, written as POSCAR:
```
Co3O
1.0
0.000 2.832 2.832
2.832 0.000 2.832
2.832 2.832 0.000
Co O
3 1
Direct
0.000 0.000 0.000 Co
0.250 0.250 0.250 Co
0.750 0.750 0.750 Co
0.500 0.500 0.500 O
```